# 1
An optimized crystal structure of AlCdFeCo. Source: OQMD, functional PBE.

## Properties
The offset from the most stable computed form is 0 meV/atom. The symmetry is F-43m (216). The value obtained for the density is 7.44 Mg/m³.

Structure (POSCAR):
```
AlCdFeCo
1.0
0.000 3.049 3.049
3.049 0.000 3.049
3.049 3.049 0.000
Al Cd Co Fe
1 1 1 1
Direct
0.000 0.000 0.000 Al
0.250 0.250 0.250 Cd
0.750 0.750 0.750 Co
0.500 0.500 0.500 Fe
```

=====

# 2
An optimized crystal structure of LaTlHgS3. Source: OQMD, functional PBE.

## Properties
The offset from the most stable computed form is 57 meV/atom. The symmetry is C2/m (12). The value obtained for the density is 6.41 Mg/m³.

Structure (POSCAR):
```
LaTlHgS3
1.0
8.632 -2.149 0.000
8.632 2.149 0.000
-2.644 0.000 8.944
Hg La S Tl
2 2 6 2
Direct
0.496 0.496 0.285 Hg
0.504 0.504 0.715 Hg
0.828 0.828 0.394 La
0.172 0.172 0.606 La
0.500 0.500 0.000 S
0.338 0.338 0.197 S
0.660 0.660 0.386 S
0.000 0.000 0.500 S
0.340 0.340 0.614 S
0.662 0.662 0.803 S
0.133 0.133 0.069 Tl
0.867 0.867 0.931 Tl
```

=====

# 3
An optimized crystal structure of ScNbTc2. Source: OQMD, functional PBE.

## Properties
The offset from the most stable computed form is 23 meV/atom. The symmetry is P4/mmm (123). The formation enthalpy at 0 K comes out at -0.98 eV per formula unit. The value obtained for the density is 8.45 Mg/m³.

Structure (POSCAR):
```
ScNbTc2
1.0
4.528 0.000 0.000
0.000 4.528 0.000
0.000 0.000 3.199
Nb Sc Tc
1 1 2
Direct
0.000 0.000 0.000 Nb
0.500 0.500 0.000 Sc
0.500 0.000 0.500 Tc
0.000 0.500 0.500 Tc
```

=====

# 4
An optimized crystal structure of ZrCuPd. Source: OQMD, functional PBE.

## Properties
The offset from the most stable computed form is 613 meV/atom. The symmetry is F-43m (216). The formation enthalpy at 0 K comes out at 0.35 eV per formula unit. The value obtained for the density is 7.21 Mg/m³.

Structure (POSCAR):
```
ZrCuPd
1.0
0.000 3.109 3.109
3.109 0.000 3.109
3.109 3.109 0.000
Cu Pd Zr
1 1 1
Direct
0.250 0.250 0.250 Cu
0.750 0.750 0.750 Pd
0.000 0.000 0.000 Zr
```

=====

# 5
An optimized crystal structure of Y4NiPbN2. Source: OQMD, functional PBE.

## Properties
The calculation puts the final energy at -7.4361 eV per atom. The symmetry is P-6m2 (187). The value obtained for the density is 6.77 Mg/m³.

Structure (POSCAR):
```
Y4NiPbN2
1.0
-1.077 -0.251 3.367
-0.234 -2.808 -2.149
13.447 -4.174 3.990
N Ni Pb Y
2 1 1 4
Direct
0.667 0.333 0.239 N
0.667 0.333 0.761 N
0.000 0.000 0.000 Ni
0.333 0.667 0.500 Pb
0.333 0.667 0.132 Y
0.000 0.000 0.319 Y
0.000 0.000 0.681 Y
0.333 0.667 0.868 Y
```

=====

# 6
An optimized crystal structure of LuFeBAu. Source: OQMD, functional PBE.

## Properties
The offset from the most stable computed form is 0 meV/atom. The symmetry is F-43m (216). The value obtained for the density is 11.50 Mg/m³.

Structure (POSCAR):
```
LuFeBAu
1.0
2.000 -3.790 -1.287
-2.144 -2.858 -2.693
1.328 -0.500 -4.244
Au B Fe Lu
1 1 1 1
Direct
0.500 0.500 0.500 Au
0.000 0.000 0.000 B
0.750 0.750 0.750 Fe
0.250 0.250 0.250 Lu
```

=====

# 7
An optimized crystal structure of NaCuReS3. Source: OQMD, functional PBE.

## Properties
The calculation puts the final energy at -5.3124 eV per atom. The symmetry is Cmcm (63). The value obtained for the density is 5.96 Mg/m³.

Structure (POSCAR):
```
NaCuReS3
1.0
6.651 -1.672 0.000
6.651 1.672 0.000
0.000 0.000 9.249
Cu Na Re S
2 2 2 6
Direct
0.545 0.545 0.250 Cu
0.455 0.455 0.750 Cu
0.248 0.248 0.250 Na
0.752 0.752 0.750 Na
0.000 0.000 0.000 Re
0.000 0.000 0.500 Re
0.631 0.631 0.042 S
0.924 0.924 0.250 S
0.631 0.631 0.458 S
0.369 0.369 0.542 S
0.076 0.076 0.750 S
0.369 0.369 0.958 S
```

=====

# 8
An optimized crystal structure of Nd3Mg3GaPd2. Source: OQMD, functional PBE.

## Properties
The calculation puts the final energy at -4.1512 eV per atom. The symmetry is P-62m (189). The value obtained for the density is 6.16 Mg/m³.

Structure (POSCAR):
```
Nd3Mg3GaPd2
1.0
-6.148 -3.595 2.417
5.145 -3.672 -4.076
2.082 -1.117 3.634
Ga Mg Nd Pd
1 3 3 2
Direct
0.000 0.000 0.000 Ga
0.243 0.000 0.500 Mg
0.000 0.243 0.500 Mg
0.757 0.757 0.500 Mg
0.583 0.000 0.000 Nd
0.417 0.417 0.000 Nd
0.000 0.583 0.000 Nd
0.667 0.333 0.500 Pd
0.333 0.667 0.500 Pd
```